Record 1
# MnCrIr2 (PBE, optimized geometry)
data_MnCrIr2
_cell_length_a 8.6906
_cell_length_b 8.6906
_cell_length_c 8.6906
_cell_angle_alpha 17.80
_cell_angle_beta 17.80
_cell_angle_gamma 17.80
_symmetry_space_group_name_H-M 'P 1'
_symmetry_Int_Tables_number 1
loop_
_symmetry_equiv_pos_as_xyz
'x,y,z'
loop_
_atom_site_label
_atom_site_type_symbol
_atom_site_fract_x
_atom_site_fract_y
_atom_site_fract_z
Mn1 Mn 0.4985 0.4985 0.4985
Cr1 Cr 0.7510 0.7510 0.7510
Ir1 Ir 0.0053 0.0053 0.0053
Ir2 Ir 0.2452 0.2452 0.2452
# ΔH_f (0 K)   0.04 eV/atom
# Space group   No. 160
# Energy above the most stable polymorph in this dataset   328 meV per atom

---

Record 2
# MnCrIr2 (PBE, optimized geometry)
data_MnCrIr2
_cell_length_a 4.6297
_cell_length_b 4.6297
_cell_length_c 4.5511
_cell_angle_alpha 79.57
_cell_angle_beta 79.57
_cell_angle_gamma 34.00
_symmetry_space_group_name_H-M 'P 1'
_symmetry_Int_Tables_number 1
loop_
_symmetry_equiv_pos_as_xyz
'x,y,z'
loop_
_atom_site_label
_atom_site_type_symbol
_atom_site_fract_x
_atom_site_fract_y
_atom_site_fract_z
Mn1 Mn 0.5010 0.5010 0.5028
Ir1 Ir 0.7519 0.7519 0.7369
Cr1 Cr 0.2495 0.2495 0.2477
Ir2 Ir 0.9975 0.9975 0.0126
# ΔH_f (0 K)   -0.12 eV/atom
# Space group   No. 8
# Energy above the most stable polymorph in this dataset   166 meV per atom

---

Record 3
# MnCr3Ir12 (PBE, optimized geometry)
data_MnCr3Ir12
_cell_length_a 3.8216
_cell_length_b 3.8216
_cell_length_c 15.3258
_cell_angle_alpha 90.00
_cell_angle_beta 90.00
_cell_angle_gamma 90.00
_symmetry_space_group_name_H-M 'P 1'
_symmetry_Int_Tables_number 1
loop_
_symmetry_equiv_pos_as_xyz
'x,y,z'
loop_
_atom_site_label
_atom_site_type_symbol
_atom_site_fract_x
_atom_site_fract_y
_atom_site_fract_z
Cr1 Cr 0.0000 0.0000 0.5000
Ir1 Ir 0.0000 0.5000 0.1270
Ir2 Ir 0.0000 0.5000 0.8730
Ir3 Ir 0.0000 0.5000 0.3756
Ir4 Ir 0.5000 0.5000 0.0000
Ir5 Ir 0.5000 0.0000 0.3756
Ir6 Ir 0.5000 0.5000 0.2510
Ir7 Ir 0.5000 0.0000 0.8730
Cr2 Cr 0.0000 0.0000 0.2478
Cr3 Cr 0.0000 0.0000 0.7522
Ir8 Ir 0.5000 0.0000 0.6244
Ir9 Ir 0.5000 0.5000 0.7490
Mn1 Mn 0.0000 0.0000 0.0000
Ir10 Ir 0.5000 0.0000 0.1270
Ir11 Ir 0.0000 0.5000 0.6244
Ir12 Ir 0.5000 0.5000 0.5000
# ΔH_f (0 K)   -0.22 eV/atom
# Space group   No. 123

---

Record 4
# MnCr2Ir2 (PBE, optimized geometry)
data_MnCr2Ir2
_cell_length_a 7.1483
_cell_length_b 7.1483
_cell_length_c 2.6709
_cell_angle_alpha 90.00
_cell_angle_beta 90.00
_cell_angle_gamma 90.00
_symmetry_space_group_name_H-M 'P 1'
_symmetry_Int_Tables_number 1
loop_
_symmetry_equiv_pos_as_xyz
'x,y,z'
loop_
_atom_site_label
_atom_site_type_symbol
_atom_site_fract_x
_atom_site_fract_y
_atom_site_fract_z
Cr1 Cr 0.6676 0.8324 0.5000
Ir1 Ir 0.6311 0.1311 0.0000
Ir2 Ir 0.3689 0.8689 0.0000
Ir3 Ir 0.1311 0.3689 0.0000
Cr2 Cr 0.8324 0.3324 0.5000
Cr3 Cr 0.1676 0.6676 0.5000
Cr4 Cr 0.3324 0.1676 0.5000
Mn1 Mn 0.0000 0.0000 0.0000
Mn2 Mn 0.5000 0.5000 0.0000
Ir4 Ir 0.8689 0.6311 0.0000
# ΔH_f (0 K)   0.20 eV/atom
# Space group   No. 127
# Energy above the most stable polymorph in this dataset   26 meV per atom

---

Record 5
# MnCrIr2 (PBE, optimized geometry)
data_MnCrIr2
_cell_length_a 5.4911
_cell_length_b 5.4911
_cell_length_c 6.4121
_cell_angle_alpha 64.65
_cell_angle_beta 64.65
_cell_angle_gamma 90.00
_symmetry_space_group_name_H-M 'P 1'
_symmetry_Int_Tables_number 1
loop_
_symmetry_equiv_pos_as_xyz
'x,y,z'
loop_
_atom_site_label
_atom_site_type_symbol
_atom_site_fract_x
_atom_site_fract_y
_atom_site_fract_z
Ir1 Ir 0.6196 0.1250 0.2500
Cr1 Cr 0.5000 0.5000 0.0000
Mn1 Mn 0.0000 0.0000 0.0000
Ir2 Ir 0.8750 0.8696 0.7500
Cr2 Cr 0.2500 0.7500 0.5000
Ir3 Ir 0.3750 0.3804 0.7500
Ir4 Ir 0.1304 0.6250 0.2500
Mn2 Mn 0.7500 0.2500 0.5000
# ΔH_f (0 K)   0.91 eV/atom
# Space group   No. 122
# Energy above the most stable polymorph in this dataset   1198 meV per atom

---

Record 6
# MnCrIr2 (PBE, optimized geometry)
data_MnCrIr2
_cell_length_a 8.6372
_cell_length_b 8.6372
_cell_length_c 8.6372
_cell_angle_alpha 17.86
_cell_angle_beta 17.86
_cell_angle_gamma 17.86
_symmetry_space_group_name_H-M 'P 1'
_symmetry_Int_Tables_number 1
loop_
_symmetry_equiv_pos_as_xyz
'x,y,z'
loop_
_atom_site_label
_atom_site_type_symbol
_atom_site_fract_x
_atom_site_fract_y
_atom_site_fract_z
Cr1 Cr 0.7500 0.7500 0.7500
Ir1 Ir 0.0001 0.0001 0.0001
Ir2 Ir 0.4998 0.4998 0.4998
Mn1 Mn 0.2500 0.2500 0.2500
# ΔH_f (0 K)   -0.03 eV/atom
# Space group   No. 166
# Energy above the most stable polymorph in this dataset   255 meV per atom

---

Record 7
# MnCrIr2 (PBE, optimized geometry)
data_MnCrIr2
_cell_length_a 4.5565
_cell_length_b 4.5565
_cell_length_c 4.5565
_cell_angle_alpha 130.57
_cell_angle_beta 130.59
_cell_angle_gamma 72.48
_symmetry_space_group_name_H-M 'P 1'
_symmetry_Int_Tables_number 1
loop_
_symmetry_equiv_pos_as_xyz
'x,y,z'
loop_
_atom_site_label
_atom_site_type_symbol
_atom_site_fract_x
_atom_site_fract_y
_atom_site_fract_z
Ir1 Ir 0.0000 0.0000 0.0000
Mn1 Mn 0.2500 0.7500 0.5000
Ir2 Ir 0.5000 0.5000 0.0000
Cr1 Cr 0.7500 0.2500 0.5000
# ΔH_f (0 K)   -0.21 eV/atom
# Space group   No. 139
# Energy above the most stable polymorph in this dataset   76 meV per atom

---

Record 8
# MnCrIr2 (PBE, optimized geometry)
data_MnCrIr2
_cell_length_a 2.9294
_cell_length_b 2.9294
_cell_length_c 6.2126
_cell_angle_alpha 90.00
_cell_angle_beta 90.00
_cell_angle_gamma 90.00
_symmetry_space_group_name_H-M 'P 1'
_symmetry_Int_Tables_number 1
loop_
_symmetry_equiv_pos_as_xyz
'x,y,z'
loop_
_atom_site_label
_atom_site_type_symbol
_atom_site_fract_x
_atom_site_fract_y
_atom_site_fract_z
Cr1 Cr 0.5000 0.5000 0.7144
Ir1 Ir 0.0000 0.0000 0.9729
Ir2 Ir 0.5000 0.5000 0.2792
Mn1 Mn 0.0000 0.0000 0.5334
# ΔH_f (0 K)   0.06 eV/atom
# Space group   No. 99
# Energy above the most stable polymorph in this dataset   353 meV per atom

---

Record 9
# MnCrIr2 (PBE, optimized geometry)
data_MnCrIr2
_cell_length_a 4.2695
_cell_length_b 4.2695
_cell_length_c 4.2695
_cell_angle_alpha 60.00
_cell_angle_beta 60.00
_cell_angle_gamma 60.00
_symmetry_space_group_name_H-M 'P 1'
_symmetry_Int_Tables_number 1
loop_
_symmetry_equiv_pos_as_xyz
'x,y,z'
loop_
_atom_site_label
_atom_site_type_symbol
_atom_site_fract_x
_atom_site_fract_y
_atom_site_fract_z
Ir1 Ir 0.7500 0.7500 0.7500
Mn1 Mn 0.5000 0.5000 0.5000
Ir2 Ir 0.2500 0.2500 0.2500
Cr1 Cr 0.0000 0.0000 0.0000
# ΔH_f (0 K)   0.08 eV/atom
# Space group   No. 225
# Energy above the most stable polymorph in this dataset   372 meV per atom

---

Record 10
# Mn2CrIr (PBE, optimized geometry)
data_Mn2CrIr
_cell_length_a 4.1514
_cell_length_b 4.1514
_cell_length_c 4.1514
_cell_angle_alpha 60.00
_cell_angle_beta 60.00
_cell_angle_gamma 60.00
_symmetry_space_group_name_H-M 'P 1'
_symmetry_Int_Tables_number 1
loop_
_symmetry_equiv_pos_as_xyz
'x,y,z'
loop_
_atom_site_label
_atom_site_type_symbol
_atom_site_fract_x
_atom_site_fract_y
_atom_site_fract_z
Mn1 Mn 0.2500 0.2500 0.2500
Mn2 Mn 0.0000 0.0000 0.0000
Cr1 Cr 0.5000 0.5000 0.5000
Ir1 Ir 0.7500 0.7500 0.7500
# ΔH_f (0 K)   0.06 eV/atom
# Space group   No. 216

---

Record 11
# Mn2CrIr (PBE, optimized geometry)
data_Mn2CrIr
_cell_length_a 3.5200
_cell_length_b 3.5200
_cell_length_c 9.0821
_cell_angle_alpha 78.83
_cell_angle_beta 78.83
_cell_angle_gamma 90.00
_symmetry_space_group_name_H-M 'P 1'
_symmetry_Int_Tables_number 1
loop_
_symmetry_equiv_pos_as_xyz
'x,y,z'
loop_
_atom_site_label
_atom_site_type_symbol
_atom_site_fract_x
_atom_site_fract_y
_atom_site_fract_z
Mn1 Mn 0.6091 0.1250 0.2500
Mn2 Mn 0.1409 0.6250 0.2500
Cr1 Cr 0.2500 0.7500 0.5000
Ir1 Ir 0.0000 0.0000 0.0000
Mn3 Mn 0.3750 0.3909 0.7500
Cr2 Cr 0.5000 0.5000 0.0000
Ir2 Ir 0.7500 0.2500 0.5000
Mn4 Mn 0.8750 0.8591 0.7500
# ΔH_f (0 K)   0.59 eV/atom
# Space group   No. 122

---

Record 12
# Mn2CrIr (PBE, optimized geometry)
data_Mn2CrIr
_cell_length_a 2.6208
_cell_length_b 2.6208
_cell_length_c 8.1271
_cell_angle_alpha 90.00
_cell_angle_beta 90.00
_cell_angle_gamma 112.14
_symmetry_space_group_name_H-M 'P 1'
_symmetry_Int_Tables_number 1
loop_
_symmetry_equiv_pos_as_xyz
'x,y,z'
loop_
_atom_site_label
_atom_site_type_symbol
_atom_site_fract_x
_atom_site_fract_y
_atom_site_fract_z
Mn1 Mn 0.0000 0.0000 0.0161
Cr1 Cr 0.5000 0.5000 0.2500
Ir1 Ir 0.5000 0.5000 0.7500
Mn2 Mn 0.0000 0.0000 0.4839
# ΔH_f (0 K)   0.16 eV/atom
# Space group   No. 65

---

Record 13
# Mn2CrIr (PBE, optimized geometry)
data_Mn2CrIr
_cell_length_a 4.4720
_cell_length_b 4.4720
_cell_length_c 4.4770
_cell_angle_alpha 79.63
_cell_angle_beta 79.63
_cell_angle_gamma 34.23
_symmetry_space_group_name_H-M 'P 1'
_symmetry_Int_Tables_number 1
loop_
_symmetry_equiv_pos_as_xyz
'x,y,z'
loop_
_atom_site_label
_atom_site_type_symbol
_atom_site_fract_x
_atom_site_fract_y
_atom_site_fract_z
Mn1 Mn 0.0012 0.0012 0.9949
Ir1 Ir 0.2500 0.2500 0.2500
Mn2 Mn 0.4988 0.4988 0.5051
Cr1 Cr 0.7500 0.7500 0.7500
# ΔH_f (0 K)   0.00 eV/atom
# Space group   No. 12

---

Record 14
# Mn2CrIr (PBE, optimized geometry)
data_Mn2CrIr
_cell_length_a 4.4846
_cell_length_b 4.4846
_cell_length_c 4.4667
_cell_angle_alpha 79.95
_cell_angle_beta 79.95
_cell_angle_gamma 34.25
_symmetry_space_group_name_H-M 'P 1'
_symmetry_Int_Tables_number 1
loop_
_symmetry_equiv_pos_as_xyz
'x,y,z'
loop_
_atom_site_label
_atom_site_type_symbol
_atom_site_fract_x
_atom_site_fract_y
_atom_site_fract_z
Mn1 Mn 0.9998 0.9998 0.9984
Ir1 Ir 0.2492 0.2492 0.2419
Cr1 Cr 0.4998 0.4998 0.5141
Mn2 Mn 0.7512 0.7512 0.7456
# ΔH_f (0 K)   -0.01 eV/atom
# Space group   No. 8

---

Number 1: DFT total energy -9.09 eV per atom. Number 2: DFT total energy -9.25 eV per atom. Number 3: DFT total energy -9.24 eV per atom. Number 4: DFT total energy -9.03 eV per atom. Number 5: DFT total energy -8.22 eV per atom. Number 6: DFT total energy -9.16 eV per atom. Number 7: DFT total energy -9.34 eV per atom. Number 8: DFT total energy -9.06 eV per atom. Number 9: DFT total energy -9.05 eV per atom. Number 10: DFT total energy -9.14 eV per atom. Number 11: DFT total energy -8.62 eV per atom. Number 12: DFT total energy -9.05 eV per atom. Number 13: DFT total energy -9.20 eV per atom. Number 14: DFT total energy -9.21 eV per atom.